Entry 1:
# Y3B3Os2 PBE relaxed
data_Y3B3Os2
_chemical_formula_sum 'Y6 B6 Os4'
_space_group_name_H-M_alt 'P 1'
_space_group_IT_number 1
_cell_length_a 3.720
_cell_length_b 5.845
_cell_length_c 12.907
_cell_angle_alpha 90.00
_cell_angle_beta 90.00
_cell_angle_gamma 108.55
loop_
_space_group_symop_operation_xyz
'x,y,z'
loop_
_atom_site_label
_atom_site_type_symbol
_atom_site_fract_x
_atom_site_fract_y
_atom_site_fract_z
Y1 Y 0.932 0.863 0.386
Y2 Y 0.068 0.137 0.886
Y3 Y 0.932 0.863 0.114
Y4 Y 0.068 0.137 0.614
Y5 Y 0.647 0.294 0.250
Y6 Y 0.353 0.706 0.750
B1 B 0.642 0.284 0.456
B2 B 0.358 0.716 0.956
B3 B 0.642 0.284 0.044
B4 B 0.358 0.716 0.544
B5 B 0.310 0.621 0.250
B6 B 0.690 0.379 0.750
Os1 Os 0.773 0.545 0.915
Os2 Os 0.227 0.455 0.415
Os3 Os 0.773 0.545 0.585
Os4 Os 0.227 0.455 0.085
# Size of the total moment ... 0.0 μB/f.u.
# Raw total energy ... -128.7 eV for the cell shown

Entry 2:
# CaLa2Ru PBE relaxed
data_CaLa2Ru
_chemical_formula_sum 'Ca2 La4 Ru2'
_space_group_name_H-M_alt 'P 1'
_space_group_IT_number 1
_cell_length_a 4.011
_cell_length_b 6.724
_cell_length_c 9.935
_cell_angle_alpha 89.63
_cell_angle_beta 90.00
_cell_angle_gamma 107.35
loop_
_space_group_symop_operation_xyz
'x,y,z'
loop_
_atom_site_label
_atom_site_type_symbol
_atom_site_fract_x
_atom_site_fract_y
_atom_site_fract_z
Ca1 Ca 0.853 0.706 0.930
Ca2 Ca 0.147 0.294 0.070
La1 La 0.147 0.294 0.421
La2 La 0.853 0.706 0.579
La3 La 0.411 0.822 0.251
La4 La 0.589 0.178 0.749
Ru1 Ru 0.769 0.537 0.283
Ru2 Ru 0.231 0.463 0.717
# Size of the total moment ... 0.0 μB/f.u.
# Raw total energy ... -43.9 eV for the cell shown

Entry 3:
# Li5In3 PBE relaxed
data_Li5In3
_chemical_formula_sum 'Li5 In3'
_space_group_name_H-M_alt 'P 1'
_space_group_IT_number 1
_cell_length_a 5.814
_cell_length_b 5.814
_cell_length_c 5.814
_cell_angle_alpha 109.47
_cell_angle_beta 109.47
_cell_angle_gamma 109.47
loop_
_space_group_symop_operation_xyz
'x,y,z'
loop_
_atom_site_label
_atom_site_type_symbol
_atom_site_fract_x
_atom_site_fract_y
_atom_site_fract_z
Li1 Li 0.000 0.000 0.000
Li2 Li 0.500 0.000 0.000
Li3 Li 0.500 0.500 0.500
Li4 Li 0.000 0.500 0.000
Li5 Li 0.000 0.000 0.500
In1 In 0.000 0.500 0.500
In2 In 0.500 0.000 0.500
In3 In 0.500 0.500 0.000
# Size of the total moment ... 0.0 μB/f.u.
# Raw total energy ... -19.9 eV for the cell shown

> Which formula does entry 3 have?

Li5In3

> Number 2 is which compound?

CaLa2Ru

> raw total energy of number 2 (CaLa2Ru)?

-43.9 eV for the cell shown

> Number 1 is which compound?

Y3B3Os2